(1)
An optimized crystal structure of Fe4TcIr5, computed with PBE.

a = 2.6992 Å, b = 2.6992 Å, c = 18.4292 Å
α = 90.00°, β = 90.00°, γ = 90.00°
Last column: nearest neighbours and their distance in Å.
Sites, in units of the cell vectors:
Fe 0.0000 0.0000 0.2057  8 Ir 2.64-2.67, 4 Fe 2.70
Fe 0.0000 0.0000 0.4021  8 Ir 2.62-2.63, 4 Fe 2.70
Fe 0.0000 0.0000 0.5979  8 Ir 2.62-2.63, 4 Fe 2.70
Fe 0.0000 0.0000 0.7943  8 Ir 2.64-2.67, 4 Fe 2.70
Tc 0.0000 0.0000 0.0000  4 Tc 2.70, 8 Ir 2.71
Ir 0.5000 0.5000 0.1045  4 Fe 2.67, 4 Ir 2.70, 4 Tc 2.71
Ir 0.5000 0.5000 0.3046  8 Fe 2.62-2.64, 4 Ir 2.70
Ir 0.5000 0.5000 0.5000  8 Fe 2.63, 4 Ir 2.70
Ir 0.5000 0.5000 0.6954  8 Fe 2.62-2.64, 4 Ir 2.70
Ir 0.5000 0.5000 0.8955  4 Fe 2.67, 4 Ir 2.70, 4 Tc 2.71

Properties
Mass density (g cm⁻³): 15.86
Density of states at the Fermi level (states/eV/f.u.): 9.89
Energy relative to the elements (meV per atom): -76

---

(2)
An optimized crystal structure of ZrHgGeS2, computed with PBE.

a = 4.7509 Å, b = 5.2884 Å, c = 4.7509 Å
α = 90.00°, β = 90.00°, γ = 90.00°
Last column: nearest neighbours and their distance in Å.
Sites, in units of the cell vectors:
S 0.0000 0.0000 0.5000  2 Ge 2.38
S 0.5000 0.0000 0.0000  2 Ge 2.38
Ge 0.0000 0.0000 0.0000  4 S 2.38, 2 Zr 2.64
Hg 0.5000 0.5000 0.5000  4 Zr 3.36, 8 S 3.55
Zr 0.0000 0.5000 0.0000  2 Ge 2.64

Properties
Mass density (g cm⁻³): 5.96
Density of states at the Fermi level (states/eV/f.u.): 5.11
E_form (uncorrected) (kcal/mol of atoms): 9.78

---

(3)
An optimized crystal structure of ZrBiPd2, computed with PBE.

a = 4.2248 Å, b = 4.2971 Å, c = 4.2971 Å
α = 90.00°, β = 90.00°, γ = 90.00°
Last column: nearest neighbours and their distance in Å.
Sites, in units of the cell vectors:
Zr 0.5000 0.0000 0.0000  8 Pd 3.01, 4 Bi 3.04
Bi 0.5000 0.5000 0.5000  8 Pd 3.01, 4 Zr 3.04
Pd 0.0000 0.0000 0.5000  4 Zr 3.01, 4 Bi 3.01, 4 Pd 3.04
Pd 0.0000 0.5000 0.0000  4 Zr 3.01, 4 Bi 3.01, 4 Pd 3.04

Properties
Mass density (g cm⁻³): 10.92
Density of states at the Fermi level (states/eV/f.u.): 2.72
Energy relative to the elements (meV per atom): -425

---

(4)
An optimized crystal structure of K2CaHg2Se4, computed with PBE.

a = 4.3415 Å, b = 7.9915 Å, c = 8.5053 Å
α = 108.12°, β = 104.79°, γ = 90.00°
Last column: nearest neighbours and their distance in Å.
Sites, in units of the cell vectors:
K 0.1235 0.5586 0.2470  7 Se 3.50-3.54, 1 K 3.86
K 0.8765 0.4414 0.7530  7 Se 3.50-3.54, 1 K 3.86
Ca 0.0000 0.0000 0.0000  6 Se 2.99-3.29
Hg 0.6652 0.9918 0.3304  3 Se 2.61-2.72
Hg 0.3348 0.0082 0.6696  3 Se 2.61-2.72
Se 0.2081 0.2065 0.4163  3 Hg 2.72-3.00
Se 0.7919 0.7935 0.5837  3 Hg 2.72-3.00
Se 0.5132 0.7528 0.0264  1 Hg 2.61
Se 0.4868 0.2472 0.9736  1 Hg 2.61

Properties
Mass density (g cm⁻³): 5.13
E_form (uncorrected) (kcal/mol of atoms): -22.06

---

(5)
An optimized crystal structure of Zn3Au4, computed with PBE.

a = 4.4440 Å, b = 4.4440 Å, c = 7.6107 Å
α = 73.02°, β = 73.02°, γ = 60.00°
Last column: nearest neighbours and their distance in Å.
Sites, in units of the cell vectors:
Zn 0.2492 0.2492 0.2524  8 Au 2.63-2.84
Zn 0.7508 0.7508 0.7476  8 Au 2.63-2.84
Zn 0.0000 0.0000 0.0000  8 Au 2.72-2.76
Au 0.6188 0.6188 0.1435  7 Zn 2.68-2.84
Au 0.8733 0.8733 0.3800  5 Zn 2.63-2.72
Au 0.1267 0.1267 0.6200  5 Zn 2.63-2.72
Au 0.3812 0.3812 0.8565  7 Zn 2.68-2.84

Properties
Mass density (g cm⁻³): 13.33
Density of states at the Fermi level (states/eV/f.u.): 2.70
Energy relative to the elements (meV per atom): -151
Energy above the most stable polymorph in this dataset (meV/atom): 34.1

---

(6)
An optimized crystal structure of SrScGa, computed with PBE.

a = 5.3692 Å, b = 5.3692 Å, c = 10.5859 Å
α = 90.00°, β = 90.00°, γ = 120.00°
Last column: nearest neighbours and their distance in Å.
Sites, in units of the cell vectors:
Sc 0.0000 0.0000 0.0000  2 Ga 2.65
Sc 0.0000 0.0000 0.5000  2 Ga 2.65
Sr 0.3333 0.6667 0.2500  3 Ga 3.10
Sr 0.6667 0.3333 0.7500  3 Ga 3.10
Ga 0.0000 0.0000 0.2500  2 Sc 2.65
Ga 0.0000 0.0000 0.7500  2 Sc 2.65

Properties
Mass density (g cm⁻³): 2.54
Density of states at the Fermi level (states/eV/f.u.): 4.77
Energy relative to the elements (meV per atom): 479
Energy above the most stable polymorph in this dataset (meV/atom): 865.4

---

(7)
An optimized crystal structure of Nb2CdFe2, computed with PBE.

a = 7.2310 Å, b = 7.2310 Å, c = 2.9726 Å
α = 90.00°, β = 90.00°, γ = 90.00°
Last column: nearest neighbours and their distance in Å.
Sites, in units of the cell vectors:
Nb 0.1590 0.6590 0.5000  6 Fe 2.58-2.60
Nb 0.6590 0.8410 0.5000  6 Fe 2.58-2.60
Nb 0.8410 0.3410 0.5000  6 Fe 2.58-2.60
Nb 0.3410 0.1590 0.5000  6 Fe 2.58-2.60
Fe 0.3654 0.8654 0.0000  6 Nb 2.58-2.60, 1 Fe 2.75, 2 Cd 2.82
Fe 0.8654 0.6346 0.0000  6 Nb 2.58-2.60, 1 Fe 2.75, 2 Cd 2.82
Fe 0.6346 0.1346 0.0000  6 Nb 2.58-2.60, 1 Fe 2.75, 2 Cd 2.82
Fe 0.1346 0.3654 0.0000  6 Nb 2.58-2.60, 1 Fe 2.75, 2 Cd 2.82
Cd 0.0000 0.0000 0.0000  4 Fe 2.82, 2 Cd 2.97, 8 Nb 3.10
Cd 0.5000 0.5000 0.0000  4 Fe 2.82, 2 Cd 2.97, 8 Nb 3.10

Properties
Mass density (g cm⁻³): 8.76
Density of states at the Fermi level (states/eV/f.u.): 5.38
Energy relative to the elements (meV per atom): 87
Energy above the most stable polymorph in this dataset (meV/atom): 0.0

---

(8)
An optimized crystal structure of K2LiAg, computed with PBE.

a = 4.7047 Å, b = 5.1868 Å, c = 7.0073 Å
α = 68.37°, β = 90.00°, γ = 90.00°
Last column: nearest neighbours and their distance in Å.
Sites, in units of the cell vectors:
Ag 0.5000 0.5710 0.7334  2 Li 2.69
K 0.0000 0.9817 0.9121  2 Li 3.58, 4 Ag 3.69
K 0.5000 0.2765 0.3217  3 Ag 3.73-3.83, 4 Li 3.76
Li 0.0000 0.6708 0.5328  2 Ag 2.69

Properties
Mass density (g cm⁻³): 2.02
Density of states at the Fermi level (states/eV/f.u.): 2.38
Energy relative to the elements (meV per atom): 54
Energy above the most stable polymorph in this dataset (meV/atom): 12.8